This record from Alexandria via LeMat-Bulk describes crystalline AlCr2O4 at its relaxed geometry. The functional is PBE with a Hubbard U.

abc: 3.1243 10.0847 10.6273
angles: 90.00 90.00 90.00
Site moments in Bohr magnetons follow the coordinates.
Fractional positions:
Cr1 0.7500 0.6129 0.5536  3.08
O1 0.7500 0.5030 0.3966  -0.09
O2 0.7500 0.4939 0.8678  -0.02
Cr2 0.7500 0.1129 0.9464  3.08
O3 0.2500 0.5061 0.1322  -0.02
Cr3 0.7500 0.6235 0.1876  3.75
O4 0.7500 0.9939 0.6322  -0.02
O5 0.2500 0.7375 0.4953  0.00
O6 0.2500 0.2375 0.0047  0.00
O7 0.7500 0.7625 0.9953  0.00
O8 0.2500 0.9970 0.8966  -0.09
O9 0.2500 0.2644 0.2816  -0.03
O10 0.7500 0.2625 0.5047  0.00
O11 0.7500 0.0030 0.1034  -0.09
Cr4 0.2500 0.3765 0.8124  3.75
O12 0.7500 0.2356 0.7816  -0.03
Al1 0.2500 0.8385 0.3655  0.01
Al2 0.2500 0.3385 0.1345  0.01
Cr5 0.7500 0.1235 0.3124  3.75
Al3 0.7500 0.1615 0.6345  0.01
O13 0.2500 0.0061 0.3678  -0.02
Cr6 0.2500 0.3871 0.4464  3.08
Cr7 0.2500 0.8765 0.6876  3.75
O14 0.2500 0.4970 0.6034  -0.09
O15 0.7500 0.7356 0.7184  -0.03
O16 0.2500 0.7644 0.2184  -0.03
Cr8 0.2500 0.8871 0.0536  3.08
Al4 0.7500 0.6615 0.8655  0.01

Summary:
Relative energy among the computed polymorphs in eV/atom: 0.129
Space group: Pnma, No. 62
VASP energy in eV per atom: -7.505
N(E_F) in states/eV/cell: 3.0